LaMn2I: relaxed, PBE.

Cell lengths 10.8966, 10.8966, 10.8966 Å; angles 156.74, 156.74, 33.13 degrees
Fractional positions:
1 La 0.0000 0.0000 0.0000
2 La 0.7500 0.2500 0.5000
3 Mn 0.1327 0.6250 0.0077
4 Mn 0.3750 0.3827 0.5077
5 Mn 0.6173 0.1250 0.9923
6 Mn 0.8750 0.8673 0.4923
7 I 0.2500 0.7500 0.5000
8 I 0.5000 0.5000 0.0000

Summary:
Size of the total moment in μB/f.u.: 7.5
Energy relative to the elements, uncorrected in eV/atom: 0.4291
Energy above the lowest structure with this stoichiometry in meV/atom: 0

LaMnI2: relaxed, PBE.

Cell lengths 8.0568, 8.0568, 8.0568 Å; angles 129.59, 129.59, 74.07 degrees
Fractional positions:
1 La 0.0000 0.0000 0.0000
2 La 0.7500 0.2500 0.5000
3 Mn 0.2500 0.7500 0.5000
4 Mn 0.5000 0.5000 0.0000
5 I 0.1951 0.6250 0.0701
6 I 0.3750 0.4451 0.5701
7 I 0.5549 0.1250 0.9299
8 I 0.8750 0.8049 0.4299

Summary:
Size of the total moment in μB/f.u.: 2.0
Energy relative to the elements, uncorrected in eV/atom: -0.0579
Energy above the lowest structure with this stoichiometry in meV/atom: 255

LaMnMo2I: relaxed, PBE.

Cell lengths 5.0086, 5.0086, 4.6371 Å; angles 90.00, 90.00, 90.00 degrees
Fractional positions:
1 La 0.0000 0.0000 0.0000
2 Mn 0.5000 0.5000 0.0000
3 Mo 0.0000 0.5000 0.5000
4 Mo 0.5000 0.0000 0.5000
5 I 0.5000 0.5000 0.5000

Summary:
Size of the total moment in μB/f.u.: 0.1
Energy relative to the elements, uncorrected in eV/atom: 1.4589

LaMnIN2: relaxed, PBE.

Cell lengths 4.2253, 4.2253, 5.0478 Å; angles 90.00, 90.00, 90.00 degrees
Fractional positions:
1 La 0.0000 0.0000 0.0000
2 Mn 0.5000 0.5000 0.5000
3 I 0.5000 0.5000 0.0000
4 N 0.0000 0.5000 0.5000
5 N 0.5000 0.0000 0.5000

Summary:
Size of the total moment in μB/f.u.: 2.7
Energy relative to the elements, uncorrected in eV/atom: 0.3361

LaMnI2N: relaxed, PBE.

Cell lengths 6.5090, 6.5090, 4.1804 Å; angles 90.00, 90.00, 90.00 degrees
Fractional positions:
1 La 0.0000 0.0000 0.0000
2 Mn 0.5000 0.5000 0.5000
3 I 0.0000 0.5000 0.0000
4 I 0.5000 0.0000 0.0000
5 N 0.0000 0.0000 0.5000

Summary:
Size of the total moment in μB/f.u.: 5.7
Energy relative to the elements, uncorrected in eV/atom: 0.0244
Energy above the lowest structure with this stoichiometry in meV/atom: 236

LaMnI2N: relaxed, PBE.

Cell lengths 5.5735, 5.5735, 3.6519 Å; angles 90.00, 90.00, 90.00 degrees
Fractional positions:
1 La 0.0000 0.0000 0.0000
2 Mn 0.5000 0.5000 0.5000
3 I 0.0000 0.5000 0.5000
4 I 0.5000 0.0000 0.5000
5 N 0.5000 0.5000 0.0000

Summary:
Size of the total moment in μB/f.u.: 0.0
Energy relative to the elements, uncorrected in eV/atom: -0.2117
Energy above the lowest structure with this stoichiometry in meV/atom: 0

La2MnNbI: relaxed, PBE.

Cell lengths 5.2206, 5.2206, 4.9972 Å; angles 90.00, 90.00, 90.00 degrees
Fractional positions:
1 La 0.0000 0.5000 0.0000
2 La 0.5000 0.0000 0.0000
3 Mn 0.0000 0.0000 0.0000
4 Nb 0.5000 0.5000 0.5000
5 I 0.0000 0.0000 0.5000

Summary:
Size of the total moment in μB/f.u.: 3.3
Energy relative to the elements, uncorrected in eV/atom: 0.7178